No. 1
DFT (GGA-PBE) results for Dy2PuPaBi4 after structural relaxation.

Cell lengths 4.4844, 7.7745, 7.7991 Å; angles 109.28, 90.00, 90.00 degrees
With the nearest neighbours (Å) after each atom.
Atoms (fractional coordinates):
1 Dy 0.5000 0.0000 0.5000  6 Bi 3.15-3.16
2 Dy 0.0000 0.5000 0.5000  6 Bi 3.18
3 Bi 0.5000 0.7514 0.7476  3 Dy 3.15-3.18, 2 Pa 3.18, 1 Pu 3.20
4 Bi 0.0000 0.7535 0.2525  3 Dy 3.16-3.18, 1 Pa 3.17, 2 Pu 3.20
5 Bi 0.5000 0.2486 0.2524  3 Dy 3.15-3.18, 2 Pa 3.18, 1 Pu 3.20
6 Bi 0.0000 0.2465 0.7475  3 Dy 3.16-3.18, 1 Pa 3.17, 2 Pu 3.20
7 Pa 0.0000 0.0000 0.0000  6 Bi 3.17-3.18
8 Pu 0.5000 0.5000 0.0000  6 Bi 3.20

Calculated values
Density of states at the Fermi level   2.330 states/eV per atom
Symmetry   P2/m (10)
Formation energy from the elements   -539 meV/atom



No. 2
DFT (GGA-PBE) results for DySc2PaBi4 after structural relaxation.

Cell lengths 4.3708, 7.5964, 7.5546 Å; angles 109.33, 90.00, 90.00 degrees
With the nearest neighbours (Å) after each atom.
Atoms (fractional coordinates):
1 Pa 0.0000 0.0000 0.0000  6 Bi 3.15-3.17
2 Sc 0.0000 0.5000 0.5000  6 Bi 3.02-3.03
3 Sc 0.5000 0.0000 0.5000  6 Bi 3.03-3.04
4 Bi 0.5000 0.7431 0.7333  3 Sc 3.02-3.03, 1 Dy 3.15, 2 Pa 3.17
5 Bi 0.5000 0.2569 0.2667  3 Sc 3.02-3.03, 1 Dy 3.15, 2 Pa 3.17
6 Bi 0.0000 0.7547 0.2646  3 Sc 3.03-3.04, 1 Pa 3.15, 2 Dy 3.16
7 Bi 0.0000 0.2453 0.7354  3 Sc 3.03-3.04, 1 Pa 3.15, 2 Dy 3.16
8 Dy 0.5000 0.5000 0.0000  6 Bi 3.15-3.16

Calculated values
Density of states at the Fermi level   0.925 states/eV per atom
Symmetry   P2/m (10)
Formation energy from the elements   -552 meV/atom



No. 3
DFT (GGA-PBE) results for SmDy2PaBi4 after structural relaxation.

Cell lengths 4.4871, 7.7972, 7.7827 Å; angles 109.23, 90.00, 90.00 degrees
With the nearest neighbours (Å) after each atom.
Atoms (fractional coordinates):
1 Dy 0.5000 0.0000 0.5000  6 Bi 3.17-3.18
2 Dy 0.0000 0.5000 0.5000  6 Bi 3.15-3.16
3 Bi 0.5000 0.2542 0.2534  3 Dy 3.16-3.18, 1 Pa 3.17, 2 Sm 3.21
4 Bi 0.0000 0.7495 0.2533  3 Dy 3.15-3.17, 2 Pa 3.19, 1 Sm 3.20
5 Bi 0.0000 0.2505 0.7467  3 Dy 3.15-3.17, 2 Pa 3.19, 1 Sm 3.20
6 Bi 0.5000 0.7458 0.7466  3 Dy 3.16-3.18, 1 Pa 3.17, 2 Sm 3.21
7 Sm 0.0000 0.0000 0.0000  6 Bi 3.20-3.21
8 Pa 0.5000 0.5000 0.0000  6 Bi 3.17-3.19

Calculated values
Density of states at the Fermi level   0.936 states/eV per atom
Symmetry   P2/m (10)
Formation energy from the elements   -670 meV/atom



No. 4
DFT (GGA-PBE) results for DyPaBiTe after structural relaxation.

Cell lengths 5.3755, 5.3755, 5.3755 Å; angles 60.00, 60.00, 60.00 degrees
With the nearest neighbours (Å) after each atom.
Atoms (fractional coordinates):
1 Te 0.0000 0.0000 0.0000  4 Dy 3.29, 4 Pa 3.29
2 Bi 0.5000 0.5000 0.5000  4 Pa 3.29, 4 Dy 3.29
3 Pa 0.7500 0.7500 0.7500  4 Te 3.29, 4 Bi 3.29
4 Dy 0.2500 0.2500 0.2500  4 Bi 3.29, 4 Te 3.29

Calculated values
Density of states at the Fermi level   1.345 states/eV per atom
Symmetry   F-43m (216)
Uncorrected formation energy   -0.593 eV/atom



Look up the density of states at the Fermi level of the second one. 0.925 states/eV per atom



The highest density of states at the Fermi level belongs to which entry? Dy2PuPaBi4



Look up the density of states at the Fermi level of the third one. 0.936 states/eV per atom



What did the second record say?
DFT (GGA-PBE) results for DySc2PaBi4 after structural relaxation.

Cell lengths 4.3708, 7.5964, 7.5546 Å; angles 109.33, 90.00, 90.00 degrees
With the nearest neighbours (Å) after each atom.
Atoms (fractional coordinates):
1 Pa 0.0000 0.0000 0.0000  6 Bi 3.15-3.17
2 Sc 0.0000 0.5000 0.5000  6 Bi 3.02-3.03
3 Sc 0.5000 0.0000 0.5000  6 Bi 3.03-3.04
4 Bi 0.5000 0.7431 0.7333  3 Sc 3.02-3.03, 1 Dy 3.15, 2 Pa 3.17
5 Bi 0.5000 0.2569 0.2667  3 Sc 3.02-3.03, 1 Dy 3.15, 2 Pa 3.17
6 Bi 0.0000 0.7547 0.2646  3 Sc 3.03-3.04, 1 Pa 3.15, 2 Dy 3.16
7 Bi 0.0000 0.2453 0.7354  3 Sc 3.03-3.04, 1 Pa 3.15, 2 Dy 3.16
8 Dy 0.5000 0.5000 0.0000  6 Bi 3.15-3.16

Calculated values
Density of states at the Fermi level   0.925 states/eV per atom
Symmetry   P2/m (10)
Formation energy from the elements   -552 meV/atom